Arrangement A

DFT (GGA-PBE) results for a relaxed structure of MnAgN2.

Values from the calculation:
As for the total magnetization: 0.72 μB per formula unit. As for the density of states at the Fermi level: 2.74 states/eV/f.u.

Lattice parameters (Å, degrees): 4.8489 4.8489 8.4957 90.00 90.00 90.00
Closest atoms and distances in Å follow each position.
Space group I-42d (No. 122)
One atom of each set of equivalent atoms:
Mn: 0.0000 0.0000 0.0000 x4  4 N 1.78
Ag: 0.0000 0.0000 0.5000 x4  4 N 2.33
N: 0.1535 0.2500 0.1250 x8  2 Mn 1.78

***

Arrangement B

DFT (GGA-PBE) results for a relaxed structure of MnAgN2.

Values from the calculation:
As for the total magnetization: 2.01 μB per formula unit. As for the density of states at the Fermi level: 1.79 states/eV/f.u.

Lattice parameters (Å, degrees): 2.8978 2.8978 18.8408 90.00 90.00 120.00
Closest atoms and distances in Å follow each position.
Space group R-3m (No. 166, hexagonal axes)
One atom of each set of equivalent atoms:
Mn: 0.0000 0.0000 0.0000 x3  6 N 1.97
Ag: 0.0000 0.0000 0.5000 x3  2 N 2.11
N: 0.0000 0.0000 0.3882 x6  3 Mn 1.97, 1 Ag 2.11

***

The data favor arrangement A; the next most stable structure lies 64 meV/atom above it.

***

Arrangement A

DFT (GGA-PBE) results for a relaxed structure of MnAgN2.

Values from the calculation:
As for the total magnetization: 2.37 μB per formula unit. As for the density of states at the Fermi level: 1.97 states/eV/f.u.

Lattice parameters (Å, degrees): 5.5345 5.5345 5.5345 90.00 90.00 90.00
Closest atoms and distances in Å follow each position.
Space group Fm-3m (No. 225)
One atom of each set of equivalent atoms:
Mn: 0.0000 0.0000 0.0000 x4  8 N 2.40
Ag: 0.0000 0.0000 0.5000 x4  8 N 2.40
N: 0.2500 0.2500 0.2500 x8  4 Mn 2.40, 4 Ag 2.40

***

Arrangement B

DFT (GGA-PBE) results for a relaxed structure of MnAgN2.

Values from the calculation:
As for the total magnetization: 0.00 μB per formula unit. As for the density of states at the Fermi level: 4.00 states/eV/f.u.

Lattice parameters (Å, degrees): 3.0507 3.0507 18.6779 90.00 90.00 120.00
Closest atoms and distances in Å follow each position.
Space group R-3m (No. 166, hexagonal axes)
One atom of each set of equivalent atoms:
Mn: 0.0000 0.0000 0.0000 x3  2 N 1.72
Ag: 0.0000 0.0000 0.5000 x3  6 N 2.25
N: 0.0000 0.0000 0.0920 x6  1 Mn 1.72

***

The data favor arrangement A; the next most stable structure lies 35 meV/atom above it.

***

Arrangement A

DFT (GGA-PBE) results for a relaxed structure of MnAg3N.

Values from the calculation:
As for the total magnetization: 6.88 μB per formula unit. As for the density of states at the Fermi level: 3.48 states/eV/f.u.

Lattice parameters (Å, degrees): 5.0602 5.0602 5.0602 90.00 90.00 90.00
Closest atoms and distances in Å follow each position.
Space group Pm-3m (No. 221)
One atom of each set of equivalent atoms:
Mn: 0.0000 0.0000 0.0000 x1  6 Ag 2.53
Ag: 0.0000 0.0000 0.5000 x3  2 Mn 2.53
N: 0.5000 0.5000 0.5000 x1  12 Ag 3.58

***

Arrangement B

DFT (GGA-PBE) results for a relaxed structure of MnAg3N.

Values from the calculation:
As for the total magnetization: 4.60 μB per formula unit. As for the density of states at the Fermi level: 3.48 states/eV/f.u.

Lattice parameters (Å, degrees): 4.3932 4.3932 4.3932 90.00 90.00 90.00
Closest atoms and distances in Å follow each position.
Space group Pm-3m (No. 221)
One atom of each set of equivalent atoms:
Mn: 0.0000 0.0000 0.0000 x1  12 Ag 3.11
Ag: 0.0000 0.5000 0.5000 x3  2 N 2.20
N: 0.5000 0.5000 0.5000 x1  6 Ag 2.20

***

The data favor arrangement B; the next most stable structure lies 1063 meV/atom above it.

***

Arrangement A

DFT (GGA-PBE) results for a relaxed structure of Mn2NiAgN.

Values from the calculation:
As for the total magnetization: 7.83 μB per formula unit. As for the density of states at the Fermi level: 4.74 states/eV/f.u.

Lattice parameters (Å, degrees): 4.9494 4.9494 4.5979 90.00 90.00 90.00
Closest atoms and distances in Å follow each position.
Space group P4/mmm (No. 123)
One atom of each set of equivalent atoms:
Mn: 0.0000 0.5000 0.0000 x2  2 Ag 2.47
Ni: 0.0000 0.0000 0.5000 x1  2 Ag 2.30
Ag: 0.0000 0.0000 0.0000 x1  2 Ni 2.30, 4 Mn 2.47
N: 0.5000 0.5000 0.5000 x1  8 Mn 3.38, 4 Ni 3.50

***

Arrangement B

DFT (GGA-PBE) results for a relaxed structure of Mn2NiAgN.

Values from the calculation:
As for the total magnetization: 7.16 μB per formula unit. As for the density of states at the Fermi level: 2.97 states/eV/f.u.

Lattice parameters (Å, degrees): 3.9969 3.9969 3.8602 90.00 90.00 90.00
Closest atoms and distances in Å follow each position.
Space group P4/mmm (No. 123)
One atom of each set of equivalent atoms:
Mn: 0.0000 0.5000 0.0000 x2  2 N 2.00
Ni: 0.0000 0.0000 0.5000 x1  2 N 1.93
Ag: 0.5000 0.5000 0.5000 x1  8 Mn 2.78, 4 Ni 2.83
N: 0.0000 0.0000 0.0000 x1  2 Ni 1.93, 4 Mn 2.00

***

The data favor arrangement B; the next most stable structure lies 2222 meV/atom above it.